Here is a relaxed DyCuN crystal from Alexandria. Energies are from PBE.

Unit cell a=3.9898 b=3.9898 c=7.4152 alpha=105.34 beta=105.34 gamma=60.46
Closest atoms and distances in Å follow each position.
Positions (direct):
1 Dy 0.1097 0.1097 0.3242  4 N 2.31-2.32
2 Dy 0.8903 0.8903 0.6758  4 N 2.31-2.32
3 Cu 0.3113 0.3113 0.9354  1 N 2.01
4 Cu 0.6887 0.6887 0.0646  1 N 2.01
5 N 0.2169 0.2169 0.6513  1 Cu 2.01
6 N 0.7831 0.7831 0.3487  1 Cu 2.01

Properties
Calculated density   8.15 Mg/m³
Formation energy from raw total energies   -0.83 eV per atom
SG   No. 12



Here is a relaxed Dy12Cu3N5 crystal from Alexandria. Energies are from PBE.

Unit cell a=13.1757 b=13.1757 c=13.1757 alpha=109.47 beta=109.47 gamma=109.47
Closest atoms and distances in Å follow each position.
Positions (direct):
1 Dy 0.0207 0.2037 0.1168  2 N 2.22-2.47
2 Dy 0.0207 0.3170 0.9039  2 N 2.22-2.47
3 Dy 0.0869 0.7037 0.6830  2 N 2.22-2.47
4 Dy 0.0869 0.8832 0.4039  2 N 2.22-2.47
5 Dy 0.0961 0.6168 0.4131  2 N 2.22-2.47
6 Dy 0.0961 0.9793 0.6830  2 N 2.22-2.47
7 Dy 0.1168 0.0207 0.2037  2 N 2.22-2.47
8 Dy 0.1168 0.5961 0.9131  2 N 2.22-2.47
9 Dy 0.1830 0.2037 0.5869  2 N 2.22-2.47
10 Dy 0.1830 0.4793 0.5961  2 N 2.22-2.47
11 Dy 0.2037 0.1168 0.0207  2 N 2.22-2.47
12 Dy 0.2037 0.5869 0.1830  2 N 2.22-2.47
13 Dy 0.2963 0.3170 0.9131  2 N 2.22-2.47
14 Dy 0.2963 0.4793 0.3832  2 N 2.22-2.47
15 Dy 0.3170 0.9039 0.0207  2 N 2.22-2.47
16 Dy 0.3170 0.9131 0.2963  2 N 2.22-2.47
17 Dy 0.3832 0.2963 0.4793  2 N 2.22-2.47
18 Dy 0.3832 0.5869 0.9039  2 N 2.22-2.47
19 Dy 0.4039 0.0869 0.8832  2 N 2.22-2.47
20 Dy 0.4039 0.8170 0.5207  2 N 2.22-2.47
21 Dy 0.4131 0.0961 0.6168  2 N 2.22-2.47
22 Dy 0.4131 0.8170 0.7963  2 N 2.22-2.47
23 Dy 0.4793 0.3832 0.2963  2 N 2.22-2.47
24 Dy 0.4793 0.5961 0.1830  2 N 2.22-2.47
25 Dy 0.5207 0.4039 0.8170  2 N 2.22-2.47
26 Dy 0.5207 0.6168 0.7037  2 N 2.22-2.47
27 Dy 0.5869 0.1830 0.2037  2 N 2.22-2.47
28 Dy 0.5869 0.9039 0.3832  2 N 2.22-2.47
29 Dy 0.5961 0.1830 0.4793  2 N 2.22-2.47
30 Dy 0.5961 0.9131 0.1168  2 N 2.22-2.47
31 Dy 0.6168 0.4131 0.0961  2 N 2.22-2.47
32 Dy 0.6168 0.7037 0.5207  2 N 2.22-2.47
33 Dy 0.6830 0.0869 0.7037  2 N 2.22-2.47
34 Dy 0.6830 0.0961 0.9793  2 N 2.22-2.47
35 Dy 0.7037 0.5207 0.6168  2 N 2.22-2.47
36 Dy 0.7037 0.6830 0.0869  2 N 2.22-2.47
37 Dy 0.7963 0.4131 0.8170  2 N 2.22-2.47
38 Dy 0.7963 0.8832 0.9793  2 N 2.22-2.47
39 Dy 0.8170 0.5207 0.4039  2 N 2.22-2.47
40 Dy 0.8170 0.7963 0.4131  2 N 2.22-2.47
41 Dy 0.8832 0.4039 0.0869  2 N 2.22-2.47
42 Dy 0.8832 0.9793 0.7963  2 N 2.22-2.47
43 Dy 0.9039 0.0207 0.3170  2 N 2.22-2.47
44 Dy 0.9039 0.3832 0.5869  2 N 2.22-2.47
45 Dy 0.9131 0.1168 0.5961  2 N 2.22-2.47
46 Dy 0.9131 0.2963 0.3170  2 N 2.22-2.47
47 Dy 0.9793 0.6830 0.0961  2 N 2.22-2.47
48 Dy 0.9793 0.7963 0.8832  2 N 2.22-2.47
49 Cu 0.1250 0.2500 0.3750  8 Dy 2.96-3.05
50 Cu 0.1250 0.3750 0.7500  8 Dy 2.96-3.05
51 Cu 0.2500 0.3750 0.1250  8 Dy 2.96-3.05
52 Cu 0.2500 0.8750 0.6250  8 Dy 2.96-3.05
53 Cu 0.3750 0.1250 0.2500  8 Dy 2.96-3.05
54 Cu 0.3750 0.7500 0.1250  8 Dy 2.96-3.05
55 Cu 0.6250 0.2500 0.8750  8 Dy 2.96-3.05
56 Cu 0.6250 0.8750 0.7500  8 Dy 2.96-3.05
57 Cu 0.7500 0.1250 0.3750  8 Dy 2.96-3.05
58 Cu 0.7500 0.6250 0.8750  8 Dy 2.96-3.05
59 Cu 0.8750 0.6250 0.2500  8 Dy 2.96-3.05
60 Cu 0.8750 0.7500 0.6250  8 Dy 2.96-3.05
61 N 0.0000 0.0000 0.0000  6 Dy 2.47
62 N 0.0000 0.0000 0.5000  6 Dy 2.47
63 N 0.0000 0.5000 0.0000  6 Dy 2.47
64 N 0.0000 0.5000 0.5000  6 Dy 2.47
65 N 0.1250 0.7500 0.8750  4 Dy 2.22
66 N 0.1250 0.8750 0.2500  4 Dy 2.22
67 N 0.2500 0.1250 0.8750  4 Dy 2.22
68 N 0.2500 0.6250 0.3750  4 Dy 2.22
69 N 0.3750 0.2500 0.6250  4 Dy 2.22
70 N 0.3750 0.6250 0.7500  4 Dy 2.22
71 N 0.5000 0.0000 0.0000  6 Dy 2.47
72 N 0.5000 0.0000 0.5000  6 Dy 2.47
73 N 0.5000 0.5000 0.0000  6 Dy 2.47
74 N 0.5000 0.5000 0.5000  6 Dy 2.47
75 N 0.6250 0.3750 0.2500  4 Dy 2.22
76 N 0.6250 0.7500 0.3750  4 Dy 2.22
77 N 0.7500 0.3750 0.6250  4 Dy 2.22
78 N 0.7500 0.8750 0.1250  4 Dy 2.22
79 N 0.8750 0.1250 0.7500  4 Dy 2.22
80 N 0.8750 0.2500 0.1250  4 Dy 2.22

Properties
Calculated density   8.34 Mg/m³
Formation energy from raw total energies   -0.74 eV per atom
SG   No. 230



Here is a relaxed DyPa2CuN5 crystal from Alexandria. Energies are from PBE.

Unit cell a=6.8758 b=6.8758 c=10.6694 alpha=90.00 beta=90.00 gamma=151.03
Closest atoms and distances in Å follow each position.
Positions (direct):
1 Dy 0.1709 0.8291 0.5000  6 N 2.27-2.52
2 Dy 0.8291 0.1709 0.0000  6 N 2.27-2.52
3 Pa 0.1170 0.8830 0.8003  6 N 2.28-2.38
4 Pa 0.1473 0.8527 0.1900  6 N 2.24-2.44
5 Pa 0.8527 0.1473 0.6900  6 N 2.24-2.44
6 Pa 0.8830 0.1170 0.3003  6 N 2.28-2.38
7 Cu 0.4849 0.5151 0.5203  4 N 1.94-2.05
8 Cu 0.5151 0.4849 0.0203  4 N 1.94-2.05
9 N 0.0199 0.9801 0.6149  2 Cu 2.05
10 N 0.2929 0.7071 0.8346  3 Pa 2.37-2.44, 2 Dy 2.51
11 N 0.3150 0.6850 0.1714  3 Pa 2.24-2.38
12 N 0.3361 0.6639 0.5532  1 Cu 2.01
13 N 0.4910 0.5090 0.3386  1 Cu 1.94
14 N 0.5090 0.4910 0.8386  1 Cu 1.94
15 N 0.6639 0.3361 0.0532  1 Cu 2.01
16 N 0.6850 0.3150 0.6714  3 Pa 2.24-2.38
17 N 0.7071 0.2929 0.3346  3 Pa 2.37-2.44, 2 Dy 2.51
18 N 0.9801 0.0199 0.1149  2 Cu 2.05

Properties
Calculated density   10.31 Mg/m³
Formation energy from raw total energies   -1.05 eV per atom
SG   No. 36



Here is a relaxed SrDyCuN2 crystal from Alexandria. Energies are from PBE.

Unit cell a=5.5548 b=5.1571 c=6.6072 alpha=90.00 beta=90.14 gamma=90.00
Closest atoms and distances in Å follow each position.
Positions (direct):
1 Sr 0.0000 0.0014 0.2500  4 N 2.69
2 Sr 0.0000 0.9986 0.7500  4 N 2.69
3 Dy 0.5000 0.5004 0.2500  4 N 2.35
4 Dy 0.5000 0.4996 0.7500  4 N 2.35
5 Cu 0.5000 0.0000 0.0000  2 N 1.86
6 Cu 0.5000 0.0000 0.5000  2 N 1.86
7 N 0.2834 0.2753 0.9999  1 Cu 1.86
8 N 0.2834 0.7247 0.4999  1 Cu 1.86
9 N 0.7166 0.2753 0.5001  1 Cu 1.86
10 N 0.7166 0.7247 0.0001  1 Cu 1.86

Properties
Calculated density   6.00 Mg/m³
Formation energy from raw total energies   -0.70 eV per atom
SG   No. 13



Here is a relaxed NaDyCu10 crystal from Alexandria. Energies are from PBE.

Unit cell a=4.0552 b=5.0190 c=8.6812 alpha=90.00 beta=90.00 gamma=90.00
Closest atoms and distances in Å follow each position.
Positions (direct):
1 Na 0.0000 0.0000 0.0000  6 Cu 2.87-2.89
2 Dy 0.0000 0.5000 0.5000  18 Cu 2.91-3.23
3 Cu 0.0000 0.0000 0.3301  6 Cu 2.49-2.51
4 Cu 0.0000 0.0000 0.6699  6 Cu 2.49-2.51
5 Cu 0.0000 0.5000 0.1649  6 Cu 2.48-2.50
6 Cu 0.0000 0.5000 0.8351  6 Cu 2.48-2.50
7 Cu 0.5000 0.0000 0.5000  8 Cu 2.49-2.51
8 Cu 0.5000 0.2540 0.2533  8 Cu 2.47-2.55
9 Cu 0.5000 0.2540 0.7467  8 Cu 2.47-2.55
10 Cu 0.5000 0.5000 0.0000  8 Cu 2.48-2.52
11 Cu 0.5000 0.7460 0.2533  8 Cu 2.47-2.55
12 Cu 0.5000 0.7460 0.7467  8 Cu 2.47-2.55

Properties
Calculated density   7.72 Mg/m³
Calculated formation energy   -57 meV per atom
SG   No. 47



Here is a relaxed NaDyCu crystal from Alexandria. Energies are from PBE.

Unit cell a=4.0907 b=4.0907 c=9.3193 alpha=103.08 beta=103.08 gamma=87.82
Closest atoms and distances in Å follow each position.
Positions (direct):
1 Na 0.2441 0.2441 0.9998  4 Na 2.84-3.02, 2 Cu 3.03
2 Na 0.7559 0.7559 0.0002  4 Na 2.84-3.02, 2 Cu 3.03
3 Dy 0.3125 0.3125 0.6254  5 Cu 2.87-3.02
4 Dy 0.6875 0.6875 0.3746  5 Cu 2.87-3.02
5 Cu 0.1510 0.1510 0.3014  5 Dy 2.87-3.02, 2 Na 3.03
6 Cu 0.8490 0.8490 0.6986  5 Dy 2.87-3.02, 2 Na 3.03

Properties
Calculated density   5.59 Mg/m³
Calculated formation energy   95 meV per atom
SG   No. 12



Here is a relaxed Na2DyCuO4 crystal from Alexandria. Energies are from PBE.

Unit cell a=5.9905 b=3.1233 c=6.2647 alpha=90.00 beta=115.13 gamma=90.00
Closest atoms and distances in Å follow each position.
Positions (direct):
1 Na 0.0000 0.0000 0.0000  2 O 2.29
2 Na 0.5000 0.5000 0.0000  4 O 2.37
3 Dy 0.0000 0.5000 0.5000  6 O 2.21-2.41
4 Cu 0.5000 0.0000 0.5000  4 O 1.97
5 O 0.2019 0.0000 0.7615  2 Dy 2.21, 3 Na 2.29-2.37
6 O 0.2991 0.5000 0.3379  2 Cu 1.97
7 O 0.7009 0.5000 0.6621  2 Cu 1.97
8 O 0.7981 0.0000 0.2385  2 Dy 2.21, 3 Na 2.29-2.37

Properties
Calculated density   5.26 Mg/m³
Formation energy from raw total energies   -1.75 eV per atom
SG   No. 10



Here is a relaxed NaDy2CuO5 crystal from Alexandria. Energies are from PBE.

Unit cell a=6.4711 b=6.4711 c=5.5413 alpha=90.00 beta=90.00 gamma=90.00
Closest atoms and distances in Å follow each position.
Positions (direct):
1 Na 0.0000 0.0000 0.0000  10 O 2.77-2.86
2 Na 0.5000 0.5000 0.0000  10 O 2.77-2.86
3 Dy 0.1764 0.3236 0.5000  8 O 2.24-2.47
4 Dy 0.3236 0.8236 0.5000  8 O 2.24-2.47
5 Dy 0.6764 0.1764 0.5000  8 O 2.24-2.47
6 Dy 0.8236 0.6764 0.5000  8 O 2.24-2.47
7 Cu 0.0000 0.5000 0.0000  4 O 1.83
8 Cu 0.5000 0.0000 0.0000  4 O 1.83
9 O 0.0000 0.0000 0.5000  4 Dy 2.39
10 O 0.1341 0.6341 0.2446  1 Cu 1.83
11 O 0.1341 0.6341 0.7554  1 Cu 1.83
12 O 0.3659 0.1341 0.2446  1 Cu 1.83
13 O 0.3659 0.1341 0.7554  1 Cu 1.83
14 O 0.5000 0.5000 0.5000  4 Dy 2.39
15 O 0.6341 0.8659 0.2446  1 Cu 1.83
16 O 0.6341 0.8659 0.7554  1 Cu 1.83
17 O 0.8659 0.3659 0.2446  1 Cu 1.83
18 O 0.8659 0.3659 0.7554  1 Cu 1.83

Properties
Calculated density   7.03 Mg/m³
Formation energy from raw total energies   -2.35 eV per atom
SG   No. 127



Here is a relaxed Na2DyCu2O4 crystal from Alexandria. Energies are from PBE.

Unit cell a=6.8384 b=6.8384 c=5.9040 alpha=96.49 beta=96.49 gamma=28.37
Closest atoms and distances in Å follow each position.
Positions (direct):
1 Na 0.1289 0.1289 0.0730  3 O 2.28-2.37
2 Na 0.8711 0.8711 0.9270  3 O 2.28-2.37
3 Dy 0.0000 0.0000 0.5000  6 O 2.27-2.40
4 Cu 0.3084 0.3084 0.4327  2 O 1.91
5 Cu 0.6916 0.6916 0.5673  2 O 1.91
6 O 0.1668 0.1668 0.7055  2 Cu 1.91
7 O 0.4383 0.4383 0.7041  1 Cu 2.21, 2 Dy 2.27, 2 Na 2.37
8 O 0.5617 0.5617 0.2959  1 Cu 2.21, 2 Dy 2.27, 2 Na 2.37
9 O 0.8332 0.8332 0.2945  2 Cu 1.91

Properties
Calculated density   5.09 Mg/m³
Formation energy from raw total energies   -1.52 eV per atom
SG   No. 12



Here is a relaxed NaDyCuPb crystal from Alexandria. Energies are from PBE.

Unit cell a=5.1306 b=5.1306 c=5.1306 alpha=60.00 beta=60.00 gamma=60.00
Closest atoms and distances in Å follow each position.
Positions (direct):
1 Na 0.0000 0.0000 0.0000  4 Cu 3.14, 4 Pb 3.14
2 Dy 0.5000 0.5000 0.5000  4 Pb 3.14, 4 Cu 3.14
3 Cu 0.7500 0.7500 0.7500  4 Na 3.14, 4 Dy 3.14
4 Pb 0.2500 0.2500 0.2500  4 Dy 3.14, 4 Na 3.14

Properties
Calculated density   7.93 Mg/m³
Calculated formation energy   -99 meV per atom
SG   No. 216



Number 1: total moment 0.00 μB/cell. Number 2: total moment 0.00 μB/cell. Number 3: total moment 0.00 μB/cell. Number 4: total moment 0.00 μB/cell. Number 5: total moment 0.00 μB/cell. Number 6: total moment 0.00 μB/cell. Number 7: total moment 0.16 μB/cell. Number 8: total moment 0.00 μB/cell. Number 9: total moment 0.00 μB/cell. Number 10: total moment 0.00 μB/cell.